Computed, not measured: a geometry-optimized NaHg2MoN structure at the GGA-PBE level of DFT.

Cell: 5.5455 5.5455 3.8783 Å, 90.00 90.00 90.00°
Closest atoms and distances in Å follow each position.
Sites, in units of the cell vectors:
Na: 0.0000 0.0000 0.0000  8 Hg 3.38
Hg: 0.0000 0.5000 0.5000  2 Mo 2.77
Hg: 0.5000 0.0000 0.5000  2 Mo 2.77
Mo: 0.5000 0.5000 0.5000  2 N 1.94
N: 0.5000 0.5000 0.0000  2 Mo 1.94

- E_tot (eV per atom) = -3.9679
- symmetry = No. 123
- calculated volume (Å³ per atom) = 23.85
- DOS at the Fermi energy (states/eV per cell) = 2.83